First-principles (PBE+U) data for an optimized crystal structure of Zr2VCdO, as listed in Alexandria via LeMat-Bulk.

a b c (Å): 5.4949 5.4949 3.9459
angles (deg): 90.00 90.00 90.00
Space group P4/mmm (No. 123)
Unique sites:
Zr 0.0000 0.5000 0.0000 x2
V 0.0000 0.0000 0.5000 x1
Cd 0.5000 0.5000 0.0000 x1
O 0.5000 0.5000 0.5000 x1

Values from the calculation:
- Raw total energy: -4.887 eV per atom
- Mass density: 5.0 Mg/m³
- Calculated volume: 119.14 Å³/cell